A plane-wave DFT calculation with PBE-GGA was carried out for an optimized crystal structure of MnMoS.

Properties
As for the total magnetization: 0.43 μB/cell. The value obtained for the offset from the most stable computed form is 106 meV per atom. Its theoretical density is 6.4 Mg/m³. The volume is 15.74 Å³/atom. The uncorrected formation energy is -0.11 eV per atom.

POSCAR file:
```
MnMoS
1.0
3.834 0.000 0.000
0.651 4.674 0.000
0.163 1.758 5.270
Mn Mo S
2 2 2
direct
0.075 0.241 0.454 Mn
0.925 0.759 0.546 Mn
0.498 0.813 0.790 Mo
0.502 0.187 0.210 Mo
0.279 0.354 0.781 S
0.721 0.646 0.219 S
```